First-principles (PBE) data for an optimized crystal structure of ZnSbRh3, as listed in Alexandria via LeMat-Bulk.

Geometry as CIF:
```
data_ZnSbRh3
_space_group_name_H-M_alt 'P 1'
_space_group_IT_number 1
_space_group_name_Hall 'P 1'
_cell_length_a 4.468
_cell_length_b 6.563
_cell_length_c 6.563
_cell_angle_alpha 119.96
_cell_angle_beta 90.00
_cell_angle_gamma 90.00
loop_
_atom_site_label
_atom_site_type_symbol
_atom_site_fract_x
_atom_site_fract_y
_atom_site_fract_z
Zn1 Zn 0.000 0.000 0.000
Zn2 Zn 0.500 0.000 0.000
Sb1 Sb 0.250 0.333 0.667
Sb2 Sb 0.750 0.667 0.333
Rh1 Rh 0.250 0.804 0.196
Rh2 Rh 0.750 0.196 0.804
Rh3 Rh 0.250 0.804 0.607
Rh4 Rh 0.750 0.196 0.393
Rh5 Rh 0.250 0.393 0.196
Rh6 Rh 0.750 0.607 0.804
```

Properties
DOS(E_F) = 6.211 states/eV/f.u.
crystal system = hexagonal
E = -54.23 eV/cell
uncorrected formation energy = 0.067 eV per atom